No. 1
VASP calculation (PBE) on crystalline KSr2ErI8 at its relaxed geometry.

```
KSr2ErI8
1.0
-1.4164 6.5175 3.9957
-7.1992 -0.7057 -1.3563
-1.0530 -5.3513 8.3572
I Sr K Er
8 2 1 1
direct
0.6333 0.7418 0.5000
0.8455 0.2346 0.7850
0.3667 0.2582 0.5000
0.1545 0.7654 0.2150
0.3248 0.2438 0.0001
0.1547 0.7656 0.7851
0.6752 0.7562 0.9999
0.8453 0.2344 0.2149
0.5000 0.5000 0.2473
0.5000 0.5000 0.7527
0.0000 0.0000 0.5000
0.0000 0.0000 0.0000
```

ΔE_f (raw) ... -1.52 eV/atom


No. 2
VASP calculation (PBE) on crystalline KSrErI6 at its relaxed geometry.

```
KSrErI6
1.0
-3.5251 -7.3325 -0.9743
3.7123 3.6356 -6.3359
13.1201 -6.8096 3.7798
K Er Sr I
2 2 2 12
direct
0.0000 0.0000 0.0000
0.0000 0.0000 0.5000
0.3333 0.6667 0.7500
0.6667 0.3333 0.2500
0.6667 0.3333 0.7500
0.3333 0.6667 0.2500
0.3763 0.0253 0.1337
0.9747 0.6237 0.3663
0.0253 0.6491 0.8663
0.3763 0.3509 0.3663
0.9747 0.3509 0.1337
0.0253 0.3763 0.6337
0.6491 0.0253 0.3663
0.6237 0.6491 0.6337
0.6491 0.6237 0.1337
0.3509 0.9747 0.6337
0.6237 0.9747 0.8663
0.3509 0.3763 0.8663
```

ΔE_f (raw) ... -1.52 eV/atom


No. 3
VASP calculation (PBE) on crystalline KErTl2I6 at its relaxed geometry.

```
KErTl2I6
1.0
8.6174 0.0017 0.0012
4.3101 7.4612 0.0003
4.3097 2.4876 7.4771
I Tl Er K
6 2 1 1
direct
0.6809 0.1217 0.7746
0.1218 0.4230 0.7746
0.2119 0.9814 0.2460
0.4228 0.6807 0.7743
0.9814 0.5606 0.2460
0.5604 0.2119 0.2460
0.5241 0.5239 0.4279
0.0142 0.0143 0.9578
0.3259 0.3259 0.0223
0.8181 0.8182 0.5456
```

ΔE_f (raw) ... -1.11 eV/atom


No. 4
VASP calculation (PBE) on crystalline LaErI at its relaxed geometry.

```
LaErI
1.0
3.8565 0.0000 0.0000
0.0000 5.4329 0.0000
0.0000 -2.7164 4.7050
I La Er
1 1 1
direct
0.4719 0.3333 0.6667
0.0184 0.0000 0.0000
0.5097 0.6667 0.3333
```

ΔE_f (raw) ... -0.23 eV/atom


No. 5
VASP calculation (PBE) on crystalline LaErI2 at its relaxed geometry.

```
LaErI2
1.0
3.9362 0.0000 0.0000
1.9681 3.4088 0.0000
1.9681 1.1363 10.8426
I La Er
2 1 1
direct
0.0938 0.0938 0.7187
0.9062 0.9062 0.2813
0.5000 0.5000 0.5000
0.0000 0.0000 0.0000
```

ΔE_f (raw) ... -0.76 eV/atom


No. 6
VASP calculation (PBE) on crystalline LaErI6 at its relaxed geometry.

```
LaErI6
1.0
7.7474 0.0116 0.0109
3.8663 6.7182 0.0160
3.8635 2.2349 7.0386
La Er I
1 1 6
direct
0.0000 0.0000 0.0000
0.5000 0.5000 0.5000
0.4180 0.7403 0.7437
0.0979 0.4181 0.7437
0.7401 0.0978 0.7437
0.2599 0.9022 0.2563
0.9021 0.5819 0.2563
0.5820 0.2597 0.2563
```

ΔE_f (raw) ... -1.39 eV/atom


No. 7
VASP calculation (PBE) on crystalline LaEr2IO8 at its relaxed geometry.

```
LaEr2IO8
1.0
-3.5360 -2.2103 -2.7916
3.3277 -0.7570 -3.6779
1.6766 -6.2120 2.7956
Er O La I
2 8 1 1
direct
0.5000 0.5000 0.7497
0.5000 0.5000 0.2503
0.1850 0.8146 0.8019
0.3190 0.3190 0.5000
0.6810 0.6810 0.5000
0.1850 0.8146 0.1981
0.7314 0.7319 0.0000
0.2686 0.2681 0.0000
0.8150 0.1854 0.8019
0.8150 0.1854 0.1981
0.0000 0.0000 0.5000
0.0000 0.0000 0.0000
```

ΔE_f (raw) ... -2.34 eV/atom


No. 8
VASP calculation (PBE) on crystalline La2ErP2I2 at its relaxed geometry.

```
La2ErP2I2
1.0
5.2309 0.0000 0.0000
0.0000 5.2309 0.0000
-2.6154 -2.6154 8.4006
I P La Er
2 2 2 1
direct
0.1884 0.1884 0.3768
0.8116 0.8116 0.6232
0.5000 0.0000 0.0000
0.0000 0.5000 0.0000
0.4019 0.4019 0.8037
0.5981 0.5981 0.1963
0.0000 0.0000 0.0000
```

ΔE_f (raw) ... -1.30 eV/atom


No. 9
VASP calculation (PBE) on crystalline La2ErPt2I2 at its relaxed geometry.

```
La2ErPt2I2
1.0
-3.1058 0.5150 4.1988
-1.3503 -5.0571 -0.3785
8.6116 0.1941 3.0665
Er Pt I La
1 2 2 2
direct
0.0000 0.0000 0.0000
0.0000 0.5000 0.0000
0.5000 0.0000 0.0000
0.1911 0.1911 0.3821
0.8089 0.8089 0.6179
0.6052 0.6052 0.2105
0.3948 0.3948 0.7895
```

ΔE_f (raw) ... -1.04 eV/atom


No. 10
VASP calculation (PBE) on crystalline Li2ErI4 at its relaxed geometry.

```
Li2ErI4
1.0
-1.2110 -7.8399 3.2154
5.6735 2.8722 5.7330
-7.7116 3.5318 -1.1583
I Li Er
8 4 2
direct
0.9165 0.1707 0.2542
0.3344 0.0882 0.7543
0.3334 0.5794 0.2456
0.8276 0.1275 0.6999
0.9159 0.6619 0.7459
0.4225 0.6225 0.8000
0.4275 0.1275 0.3000
0.8225 0.6226 0.2001
0.1248 0.3756 0.7503
0.6247 0.8747 0.2500
0.6247 0.3747 0.7500
0.6254 0.3745 0.2498
0.1282 0.6290 0.5008
0.1219 0.1211 0.9992
```

ΔE_f (raw) ... -1.10 eV/atom


No. 11
VASP calculation (PBE) on crystalline Li2ErI6 at its relaxed geometry.

```
Li2ErI6
1.0
7.9837 -0.1785 -0.1728
2.0749 9.6362 -0.3390
2.0749 -0.0266 9.6422
I Li Er
12 4 2
direct
0.0840 0.4689 0.3338
0.1844 0.0729 0.6294
0.5840 0.3338 0.4689
0.4160 0.6662 0.5311
0.1332 0.8061 0.9614
0.8156 0.9271 0.3706
0.6844 0.6294 0.0729
0.3156 0.3706 0.9271
0.8668 0.1939 0.0386
0.3668 0.0386 0.1939
0.6332 0.9614 0.8061
0.9160 0.5311 0.6662
0.2960 0.2433 0.4178
0.7040 0.7567 0.5822
0.2040 0.5822 0.7567
0.7960 0.4178 0.2433
0.7500 0.9094 0.0906
0.2500 0.0906 0.9094
```

ΔE_f (raw) ... -1.06 eV/atom


No. 12
VASP calculation (PBE) on crystalline Li2ErI5 at its relaxed geometry.

```
Li2ErI5
1.0
6.0400 0.0000 0.0000
-3.0200 9.8172 0.0000
0.0000 0.0000 13.2950
I Er Li
10 2 4
direct
0.3086 0.6171 0.0895
0.9073 0.8145 0.5908
0.3086 0.6171 0.4105
0.9073 0.8145 0.9092
0.2763 0.5526 0.7500
0.6914 0.3829 0.5895
0.0927 0.1855 0.0908
0.0927 0.1855 0.4092
0.7237 0.4474 0.2500
0.6914 0.3829 0.9105
0.8062 0.6123 0.7500
0.1938 0.3877 0.2500
0.8008 0.6017 0.0456
0.1992 0.3983 0.9544
0.1992 0.3983 0.5456
0.8008 0.6017 0.4544
```

ΔE_f (raw) ... -1.24 eV/atom


No. 13
VASP calculation (PBE) on crystalline Li3ErI6 at its relaxed geometry.

```
Li3ErI6
1.0
1.0786 -3.6335 7.5499
2.3023 -8.2992 0.6430
7.8850 -2.1213 2.8195
I Li Er
6 3 1
direct
0.2665 0.7315 0.2316
0.7291 0.7728 0.2644
0.7335 0.2685 0.7684
0.7497 0.2499 0.2500
0.2503 0.7501 0.7500
0.2709 0.2272 0.7356
0.5000 0.0000 0.5000
0.5000 0.5000 0.0000
0.5000 0.5000 0.5000
0.0000 0.0000 0.0000
```

ΔE_f (raw) ... -1.19 eV/atom


No. 14
VASP calculation (PBE) on crystalline LiErI4 at its relaxed geometry.

```
LiErI4
1.0
4.3079 0.0000 0.0000
0.0000 7.9664 0.6580
0.0000 -2.3556 7.1327
I Li Er
4 1 1
direct
0.0000 0.7303 0.2175
0.5000 0.7121 0.7230
0.0000 0.2697 0.7825
0.5000 0.2878 0.2770
0.0000 0.5000 0.5000
0.5000 0.5000 0.0000
```

ΔE_f (raw) ... -1.32 eV/atom


No. 15
VASP calculation (PBE) on crystalline LiErI4 at its relaxed geometry.

```
LiErI4
1.0
-3.3861 -2.5551 0.7578
3.7230 -3.5010 -7.4205
3.1499 -2.2651 6.4374
I Li Er
4 1 1
direct
0.3867 0.7734 0.0472
0.8961 0.7923 0.5670
0.6133 0.2266 0.9528
0.1039 0.2077 0.4330
0.5000 0.0000 0.5000
0.0000 0.0000 0.0000
```

ΔE_f (raw) ... -1.31 eV/atom


No. 16
VASP calculation (PBE) on crystalline Li2ErI5 at its relaxed geometry.

```
Li2ErI5
1.0
1.7430 -2.3923 6.8852
3.7135 -7.4454 1.0738
7.9188 0.4113 2.7394
Li I Er
2 5 1
direct
0.6381 0.0095 0.5834
0.6381 0.5834 0.0096
0.0788 0.3570 0.8204
0.7021 0.9310 0.9310
0.3858 0.7761 0.7761
0.0788 0.8204 0.3570
0.5186 0.2712 0.2712
0.9597 0.0283 0.0283
```

ΔE_f (raw) ... -1.22 eV/atom


No. 17
VASP calculation (PBE) on crystalline Na2LiErI6 at its relaxed geometry.

```
Na2LiErI6
1.0
-3.2805 -3.2753 -6.3717
4.5497 -2.5260 -5.9162
0.8539 -8.2409 -1.0679
I Er Na Li
6 1 2 1
direct
0.4415 0.7077 0.7587
0.9519 0.5822 0.2590
0.7078 0.0919 0.7586
0.0920 0.4416 0.7584
0.5821 0.2069 0.2594
0.2069 0.9518 0.2592
0.3270 0.3268 0.0192
0.0148 0.0147 0.9557
0.5212 0.5210 0.4376
0.8164 0.8171 0.5493
```

ΔE_f (raw) ... -1.27 eV/atom


No. 18
VASP calculation (PBE) on crystalline NaLi2ErI6 at its relaxed geometry.

```
NaLi2ErI6
1.0
-1.5980 7.4772 0.3452
-4.6036 2.6794 5.4952
3.5134 4.3837 6.1348
Er I Na Li
1 6 1 2
direct
0.3264 0.3264 0.0207
0.1202 0.3879 0.7539
0.7379 0.1202 0.7540
0.3879 0.7380 0.7539
0.5918 0.2460 0.2436
0.9187 0.5919 0.2434
0.2460 0.9186 0.2435
0.8180 0.8180 0.5459
0.5094 0.5093 0.4721
0.0053 0.0053 0.9842
```

ΔE_f (raw) ... -1.26 eV/atom


No. 19
VASP calculation (PBE) on crystalline RbLiErI5 at its relaxed geometry.

```
RbLiErI5
1.0
8.5379 -0.0221 -0.0654
-2.5135 8.1595 -0.0654
-2.5756 -3.4790 10.5588
I Li Rb Er
10 2 2 2
direct
0.2370 0.3715 0.5676
0.6922 0.0895 0.3951
0.6285 0.7630 0.9324
0.9236 0.0764 0.7500
0.0895 0.6922 0.8951
0.0764 0.9236 0.2500
0.9105 0.3078 0.1049
0.3715 0.2370 0.0676
0.7630 0.6285 0.4324
0.3078 0.9105 0.6049
0.3080 0.6920 0.7500
0.6920 0.3080 0.2500
0.6502 0.3498 0.7500
0.3498 0.6502 0.2500
0.0000 0.0000 0.0000
0.0000 0.0000 0.5000
```

ΔE_f (raw) ... -1.35 eV/atom


No. 20
VASP calculation (PBE) on crystalline RbLi2ErI6 at its relaxed geometry.

```
RbLi2ErI6
1.0
7.9396 -0.0022 0.0079
3.9679 6.8572 0.0062
3.9758 2.2878 7.2911
I Rb Er Li
6 1 1 2
direct
0.2672 0.9182 0.2327
0.7391 0.1696 0.7574
0.1696 0.3334 0.7588
0.9190 0.5829 0.2319
0.3336 0.7394 0.7578
0.5827 0.2665 0.2317
0.8050 0.8043 0.5856
0.3253 0.3247 0.0254
0.5159 0.5165 0.4522
0.0042 0.0062 0.9817
```

ΔE_f (raw) ... -1.29 eV/atom


No. 21
VASP calculation (PBE) on crystalline Rb2LiErI6 at its relaxed geometry.

```
Rb2LiErI6
1.0
-4.2271 4.1149 -5.8457
-6.9354 -4.7158 1.6956
-3.4425 7.9541 8.0414
Er I Rb Li
2 12 4 2
direct
0.0000 0.5000 0.0000
0.5000 0.0000 0.5000
0.2066 0.2027 0.4624
0.9272 0.5072 0.2501
0.0728 0.4928 0.7499
0.7991 0.7912 0.9649
0.2991 0.7088 0.4649
0.5728 0.0072 0.2499
0.2009 0.2088 0.0351
0.2934 0.7027 0.0376
0.4272 0.9928 0.7501
0.7934 0.7973 0.5376
0.7009 0.2912 0.5351
0.7066 0.2973 0.9624
0.5193 0.5638 0.7509
0.9807 0.0638 0.7491
0.4807 0.4362 0.2491
0.0193 0.9362 0.2509
0.5000 0.0000 0.0000
0.0000 0.5000 0.5000
```

ΔE_f (raw) ... -1.39 eV/atom


No. 22
VASP calculation (PBE) on crystalline ErMgI at its relaxed geometry.

```
ErMgI
1.0
3.7475 0.0000 0.0000
-1.8737 3.2445 0.0000
0.0000 0.0000 16.2711
I Er Mg
2 2 2
direct
0.3304 0.6609 0.2070
0.3304 0.6609 0.7930
0.6640 0.3279 0.6573
0.6640 0.3279 0.3427
0.3316 0.6632 0.5000
0.3462 0.6925 0.0000
```

ΔE_f (raw) ... -0.34 eV/atom


Number 1: energy -39.68 eV for the cell shown. Number 2: energy -60.56 eV for the cell shown. Number 3: energy -30.81 eV for the cell shown. Number 4: energy -11.74 eV for the cell shown. Number 5: energy -15.62 eV for the cell shown. Number 6: energy -29.89 eV for the cell shown. Number 7: energy -83.40 eV for the cell shown. Number 8: energy -37.44 eV for the cell shown. Number 9: energy -36.89 eV for the cell shown. Number 10: energy -44.53 eV for the cell shown. Number 11: energy -54.43 eV for the cell shown. Number 12: energy -52.10 eV for the cell shown. Number 13: energy -31.53 eV for the cell shown. Number 14: energy -20.57 eV for the cell shown. Number 15: energy -20.56 eV for the cell shown. Number 16: energy -25.93 eV for the cell shown. Number 17: energy -31.15 eV for the cell shown. Number 18: energy -31.61 eV for the cell shown. Number 19: energy -52.06 eV for the cell shown. Number 20: energy -31.61 eV for the cell shown. Number 21: energy -63.31 eV for the cell shown. Number 22: energy -17.47 eV for the cell shown.